1.
The following is a DFT calculation (PBE) of an optimized crystal structure of LaReBr.

energy relative to the lowest polymorph listed for this composition = 123 kJ/mol of formula units
formation energy without anion corrections = 2.35 eV/f.u.

abc: 4.706 4.706 4.706
angles: 60.00 60.00 60.00
Atoms (fractional coordinates):
La: 0.000 0.000 0.000
Re: 0.250 0.250 0.250
Br: 0.500 0.500 0.500

***

2.
The following is a DFT calculation (PBE) of an optimized crystal structure of Bi2PbF.

energy relative to the lowest polymorph listed for this composition = 10 kJ/mol of formula units
formation energy without anion corrections = -1.77 eV/f.u.

abc: 5.267 5.267 5.267
angles: 60.00 60.00 60.00
Atoms (fractional coordinates):
Bi: 0.250 0.250 0.250
Bi: 0.750 0.750 0.750
Pb: 0.000 0.000 0.000
F: 0.500 0.500 0.500

***

3.
The following is a DFT calculation (PBE) of an optimized crystal structure of Sm3Dy6Th.

formation energy = 0.08 eV per atom
energy relative to the lowest polymorph listed for this composition = 0 kJ/mol of formula units

abc: 13.072 3.532 14.327
angles: 90.00 100.37 90.00
Atoms (fractional coordinates):
Sm: 0.075 0.250 0.101
Sm: 0.373 0.750 0.497
Sm: 0.422 0.250 0.902
Sm: 0.578 0.750 0.098
Sm: 0.627 0.250 0.503
Sm: 0.925 0.750 0.899
Dy: 0.120 0.250 0.486
Dy: 0.190 0.750 0.921
Dy: 0.220 0.750 0.287
Dy: 0.270 0.750 0.699
Dy: 0.345 0.250 0.121
Dy: 0.499 0.750 0.309
Dy: 0.501 0.250 0.691
Dy: 0.655 0.750 0.879
Dy: 0.730 0.250 0.301
Dy: 0.780 0.250 0.713
Dy: 0.810 0.250 0.079
Dy: 0.880 0.750 0.514
Th: 0.041 0.250 0.722
Th: 0.959 0.750 0.278

***

4.
The following is a DFT calculation (PBE) of an optimized crystal structure of PmZrAgRu.

formation energy = -0.15 eV per atom

abc: 4.916 4.916 4.916
angles: 60.00 60.00 60.00
Atoms (fractional coordinates):
Pm: 0.000 0.000 0.000
Zr: 0.500 0.500 0.500
Ag: 0.250 0.250 0.250
Ru: 0.750 0.750 0.750

***

5.
The following is a DFT calculation (PBE) of an optimized crystal structure of Rb2SnSb3Pt4.

formation energy without anion corrections = -4.39 eV/f.u.

abc: 4.798 4.798 10.799
angles: 90.00 90.00 90.00
Atoms (fractional coordinates):
Rb: 0.000 0.500 0.247
Rb: 0.500 0.000 0.753
Sn: 0.000 0.000 0.500
Sb: 0.000 0.500 0.880
Sb: 0.500 0.000 0.120
Sb: 0.500 0.500 0.500
Pt: 0.000 0.000 0.000
Pt: 0.000 0.500 0.622
Pt: 0.500 0.000 0.378
Pt: 0.500 0.500 0.000

***

6.
The following is a DFT calculation (PBE) of an optimized crystal structure of La2CdIn.

formation energy = 0.21 eV per atom

abc: 7.489 7.489 7.489
angles: 153.86 134.53 53.20
Atoms (fractional coordinates):
La: 0.247 0.247 0.000
La: 0.753 0.753 0.000
Cd: 0.000 0.000 0.000
In: 0.500 0.500 0.000

***

7.
The following is a DFT calculation (PBE) of an optimized crystal structure of LaBPt4.

formation energy = -0.83 eV per atom

abc: 5.538 5.538 7.723
angles: 90.00 90.00 120.00
Atoms (fractional coordinates):
La: 0.000 0.000 0.000
La: 0.000 0.000 0.500
B: 0.333 0.667 0.000
B: 0.667 0.333 0.000
Pt: 0.000 0.500 0.199
Pt: 0.000 0.500 0.801
Pt: 0.333 0.667 0.500
Pt: 0.500 0.000 0.199
Pt: 0.500 0.000 0.801
Pt: 0.500 0.500 0.199
Pt: 0.500 0.500 0.801
Pt: 0.667 0.333 0.500

***

8.
The following is a DFT calculation (PBE) of an optimized crystal structure of LaY2CdC.

formation energy = -0.26 eV per atom

abc: 4.952 4.952 5.255
angles: 90.00 90.00 90.00
Atoms (fractional coordinates):
La: 0.000 0.000 0.000
Y: 0.000 0.500 0.500
Y: 0.500 0.000 0.500
Cd: 0.500 0.500 0.000
C: 0.000 0.000 0.500